{
  "formula": "Ba2SrWN4",
  "functional": "PBE",
  "state": "optimized geometry",
  "sg": "Pmn2_1 (31)",
  "cell": [[-0.9610, -6.0050, 0.6448], [2.4851, 0.3261, 6.7413], [-7.4196, 1.4734, 2.6638]],
  "species": ["Ba", "Ba", "Ba", "Ba", "Sr", "Sr", "W", "W", "N", "N", "N", "N", "N", "N", "N", "N"],
  "frac_coords": [[0.4795, 0.3183, 0.2552], [0.4795, 0.3183, 0.7448], [0.9795, 0.6817, 0.7552], [0.9795, 0.6817, 0.2448], [0.9845, 0.1428, 0.5000], [0.4845, 0.8572, 0.0000], [0.5021, 0.8264, 0.5000], [0.0021, 0.1736, 0.0000], [0.3093, 0.1592, 0.0000], [0.8093, 0.8408, 0.5000], [0.3905, 0.0735, 0.5000], [0.8905, 0.9265, 0.0000], [0.4273, 0.6975, 0.7006], [0.9273, 0.3025, 0.2006], [0.9273, 0.3025, 0.7994], [0.4273, 0.6975, 0.2994]]
}

{
  "formula": "Ba3SrW2N6",
  "functional": "PBE",
  "state": "optimized geometry",
  "sg": "P-3m1 (164)",
  "dos_at_fermi_per_ev_cell": 2.18,
  "cell": [[6.3668, 0.0000, 0.0000], [-3.1834, 5.5138, 0.0000], [0.0000, 0.0000, 7.5245]],
  "species": ["Ba", "Ba", "Ba", "Sr", "W", "W", "N", "N", "N", "N", "N", "N"],
  "frac_coords": [[0.3333, 0.6667, 0.6683], [0.6667, 0.3333, 0.3317], [0.0000, 0.0000, 0.0000], [0.0000, 0.0000, 0.5000], [0.6667, 0.3333, 0.8035], [0.3333, 0.6667, 0.1965], [0.6458, 0.8229, 0.2797], [0.1771, 0.3542, 0.2797], [0.1771, 0.8229, 0.2797], [0.8229, 0.6458, 0.7203], [0.3542, 0.1771, 0.7203], [0.8229, 0.1771, 0.7203]]
}

| no. | final energy (eV per formula unit) | magnetic moment (μB per formula unit) |
| --- | --- | --- |
| 1 | -58.7 | 0.000 |
| 2 | -91.1 | 1.368 |